No. 1
# HfInTe4Au3, optimized geometry, DFT PBE
data_HfInTe4Au3
_space_group_name_H-M_alt 'P 1 21/m 1'
_space_group_IT_number 11
_cell_length_a 6.543
_cell_length_b 8.215
_cell_length_c 10.349
_cell_angle_alpha 90.00
_cell_angle_beta 102.53
_cell_angle_gamma 90.00
loop_
_space_group_symop_operation_xyz
'x,y,z'
'-x,-y,-z'
'-x,y+1/2,-z'
'x,-y+1/2,z'
loop_
_atom_site_label
_atom_site_fract_x
_atom_site_fract_y
_atom_site_fract_z
Hf1 0.159 0.250 0.284
In1 0.199 0.750 0.068
Te1 0.110 0.017 0.763
Te2 0.351 0.250 0.077
Te3 0.446 0.250 0.534
Au1 0.192 0.545 0.462
Au2 0.348 0.750 0.688
# Energy = -4.152 eV per atom
# Offset from the most stable computed form = 6 meV per atom



No. 2
# HoCoCuGe2, optimized geometry, DFT PBE
data_HoCoCuGe2
_space_group_name_H-M_alt 'I -4 m 2'
_space_group_IT_number 119
_space_group_name_Hall 'I -4 -2'
_cell_length_a 4.044
_cell_length_b 4.044
_cell_length_c 10.022
_cell_angle_alpha 90.00
_cell_angle_beta 90.00
_cell_angle_gamma 90.00
loop_
_atom_site_label
_atom_site_fract_x
_atom_site_fract_y
_atom_site_fract_z
Ho1 0.000 0.000 0.000
Co1 0.000 0.500 0.750
Cu1 0.000 0.500 0.250
Ge1 0.000 0.000 0.375
# Energy = -5.422 eV per atom



No. 3
# NdTlSn, optimized geometry, DFT PBE
data_NdTlSn
_space_group_name_H-M_alt 'F -4 3 m'
_space_group_IT_number 216
_space_group_name_Hall 'F -4 2 3'
_cell_length_a 7.374
_cell_length_b 7.374
_cell_length_c 7.374
_cell_angle_alpha 90.00
_cell_angle_beta 90.00
_cell_angle_gamma 90.00
loop_
_atom_site_label
_atom_site_fract_x
_atom_site_fract_y
_atom_site_fract_z
Nd1 0.000 0.000 0.000
Tl1 0.000 0.000 0.500
Sn1 0.250 0.250 0.250
# Energy = -3.863 eV per atom
# Offset from the most stable computed form = 35 meV per atom



No. 4
# BeCoWAu, optimized geometry, DFT PBE
data_BeCoWAu
_space_group_name_H-M_alt 'F -4 3 m'
_space_group_IT_number 216
_space_group_name_Hall 'F -4 2 3'
_cell_length_a 6.039
_cell_length_b 6.039
_cell_length_c 6.039
_cell_angle_alpha 90.00
_cell_angle_beta 90.00
_cell_angle_gamma 90.00
loop_
_atom_site_label
_atom_site_fract_x
_atom_site_fract_y
_atom_site_fract_z
Be1 0.000 0.000 0.000
Co1 0.250 0.250 0.750
W1 0.000 0.000 0.500
Au1 0.250 0.250 0.250
# Energy = -6.327 eV per atom
# Offset from the most stable computed form = 252 meV per atom